Mg5Fe, optimized geometry, DFT PBE; raw total energy = -2.5876 eV per atom; DOS at the Fermi energy = 0.50 states/eV/atom; DFT formation energy = 0.91 eV per formula unit; theoretical density = 2.487 g cm⁻³
1.0
2.1840 -6.2861 0.0000
2.1840 6.2861 0.0000
0.0000 0.0000 4.3133
Mg Fe
5 1
direct
0.0000 0.0000 0.0000
0.1575 0.8425 0.5000
0.3442 0.6558 0.0000
0.6558 0.3442 0.0000
0.8425 0.1575 0.5000
0.5000 0.5000 0.5000